No. 1
MgSiRh2 PBE optimized geometry; symmetry = I-42d; total energy = -5.8314 eV/atom; total magnetization = 0.000 μB per atom
1.0
6.780 0.000 0.000
0.000 6.780 0.000
0.000 0.000 5.622
Mg Si Rh
4 4 8
Cartesian
0.000 0.000 0.000
0.000 3.390 1.406
3.390 0.000 4.217
3.390 3.390 2.811
0.000 0.000 2.811
0.000 3.390 4.217
3.390 0.000 1.406
3.390 3.390 0.000
1.314 1.695 3.514
1.695 4.703 4.919
1.695 5.466 2.108
2.076 1.695 0.703
4.703 5.085 0.703
5.085 1.314 2.108
5.085 2.076 4.919
5.466 5.085 3.514



No. 2
Pu2ZnGe3Pt4 PBE optimized geometry; symmetry = P-4m2; total energy = -7.4822 eV/atom; E_form = -0.687 eV per atom; total magnetization = 1.092 μB per atom
1.0
4.249 0.000 0.000
0.000 4.249 0.000
0.000 0.000 10.504
Pu Zn Ge Pt
2 1 3 4
Cartesian
0.000 2.124 2.587
2.124 0.000 7.918
2.124 2.124 0.000
0.000 0.000 0.000
0.000 2.124 6.652
2.124 0.000 3.853
0.000 0.000 5.252
0.000 2.124 9.088
2.124 0.000 1.416
2.124 2.124 5.252



No. 3
Re2SiP PBE optimized geometry; symmetry = F-43m; total energy = -8.4588 eV/atom; total magnetization = 0.000 μB per atom
1.0
6.117 0.000 0.000
0.000 6.117 0.000
0.000 0.000 6.117
Re Si P
8 4 4
Cartesian
0.000 0.000 0.000
0.000 3.058 3.058
1.529 1.529 1.529
1.529 4.587 4.587
3.058 0.000 3.058
3.058 3.058 0.000
4.587 1.529 4.587
4.587 4.587 1.529
1.529 1.529 4.587
1.529 4.587 1.529
4.587 1.529 1.529
4.587 4.587 4.587
0.000 0.000 3.058
0.000 3.058 0.000
3.058 0.000 0.000
3.058 3.058 3.058